La6Tc2PtI3 | PBE-GGA | relaxed

Summary:
Its spin magnetization is 0.00 μB per formula unit. The mass density is 6.8 g/cm³.

Unit cell a=7.399 b=7.399 c=8.592 alpha=98.26 beta=98.26 gamma=120.03
Element x y z (fractional)
La (0.937, 0.588, 0.813)
La (0.712, 0.712, 0.186)
La (0.063, 0.412, 0.187)
La (0.588, 0.937, 0.813)
La (0.288, 0.288, 0.814)
La (0.412, 0.063, 0.187)
Tc (0.334, 0.666, 0.000)
Tc (0.666, 0.334, 0.000)
Pt (0.000, 0.000, 0.000)
I (0.167, 0.833, 0.500)
I (0.833, 0.167, 0.500)
I (0.500, 0.500, 0.500)


La8TePt3I4 | PBE-GGA | relaxed

Summary:
Its spin magnetization is 0.00 μB per formula unit. The mass density is 7.2 g/cm³.

Unit cell a=8.830 b=9.456 c=8.831 alpha=117.84 beta=120.00 gamma=90.00
Element x y z (fractional)
La (0.245, 0.707, 0.961)
La (0.245, 0.706, 0.490)
La (0.271, 0.314, 0.542)
La (0.716, 0.707, 0.961)
La (0.284, 0.293, 0.039)
La (0.729, 0.686, 0.458)
La (0.755, 0.294, 0.510)
La (0.755, 0.293, 0.039)
Te (0.000, 0.500, 0.000)
Pt (0.500, 0.500, 0.000)
Pt (0.500, 0.500, 0.500)
Pt (0.000, 0.500, 0.500)
I (0.500, 0.000, 0.000)
I (0.500, 0.000, 0.500)
I (0.000, 0.000, 0.000)
I (0.000, 0.000, 0.500)


LaTi2PtI | PBE-GGA | relaxed

Summary:
Its spin magnetization is 2.97 μB per formula unit. The mass density is 6.4 g/cm³.

Unit cell a=5.290 b=5.132 c=5.290 alpha=90.00 beta=90.00 gamma=90.00
Last column: magnetic moment on the atom in μB.
Element x y z (fractional)
I (0.500, 0.500, 0.500)  0.02
Ti (0.000, 0.000, 0.500)  0.99
Ti (0.500, 0.000, 0.000)  1.10
Pt (0.000, 0.500, 0.000)  0.10
La (0.000, 0.000, 0.000)  0.20


La6TlPt2I3 | PBE-GGA | relaxed

Summary:
Its spin magnetization is 0.00 μB per formula unit. The mass density is 7.3 g/cm³.

Unit cell a=4.354 b=9.694 c=10.499 alpha=107.52 beta=101.97 gamma=90.00
Element x y z (fractional)
La (0.336, 0.869, 0.672)
La (0.680, 0.554, 0.360)
La (0.664, 0.131, 0.328)
La (0.020, 0.253, 0.040)
La (0.980, 0.747, 0.960)
La (0.320, 0.446, 0.640)
Tl (0.500, 0.000, 0.000)
Pt (0.830, 0.658, 0.660)
Pt (0.170, 0.342, 0.340)
I (0.500, 0.500, 0.000)
I (0.840, 0.164, 0.680)
I (0.160, 0.836, 0.320)


Number 1: total DFT energy (no corrections) -69.79 eV/cell. Number 2: total DFT energy (no corrections) -86.07 eV/cell. Number 3: total DFT energy (no corrections) -22.13 eV/cell. Number 4: total DFT energy (no corrections) -60.93 eV/cell.